Here is a relaxed structure of NaCa2Ga2Ge2 from the Alexandria database. Energies are from PBE.

Geometry as CIF:
```
data_NaCa2Ga2Ge2
_symmetry_space_group_name_H-M 'R -3 m'
_symmetry_Int_Tables_number 166
_symmetry_space_group_name_Hall '-R 3 2"'
_cell_length_a 4.7238
_cell_length_b 4.7238
_cell_length_c 27.2738
_cell_angle_alpha 90.00
_cell_angle_beta 90.00
_cell_angle_gamma 120.00
loop_
_atom_site_label
_atom_site_type_symbol
_atom_site_fract_x
_atom_site_fract_y
_atom_site_fract_z
Na1 Na 0.0000 0.0000 0.0000
Ca1 Ca 0.0000 0.0000 0.1291
Ga1 Ga 0.0000 0.0000 0.4143
Ge1 Ge 0.0000 0.0000 0.2569
```

Values from the calculation:
Energy of formation from the pure elements, kJ/mol of formula units: -131
Crystal system: trigonal
M_tot, Bohr magnetons per cell: 0.00


Here is a relaxed structure of SrHBrF2 from the Alexandria database. Energies are from PBE.

Geometry as CIF:
```
data_SrHBrF2
_symmetry_space_group_name_H-M 'P 1 21/m 1'
_symmetry_Int_Tables_number 11
_symmetry_space_group_name_Hall '-P 2yb'
_cell_length_a 5.353
_cell_length_b 4.273
_cell_length_c 7.543
_cell_angle_alpha 90.00
_cell_angle_beta 101.29
_cell_angle_gamma 90.00
loop_
_atom_site_label
_atom_site_type_symbol
_atom_site_fract_x
_atom_site_fract_y
_atom_site_fract_z
Sr1 Sr 0.175 0.250 0.236
H1 H 0.365 0.250 0.870
Br1 Br 0.266 0.750 0.560
F1 F 0.121 0.250 0.894
F2 F 0.440 0.750 0.130
```

Values from the calculation:
Crystal system: monoclinic
E_tot, eV per atom: -4.553
M_tot, Bohr magnetons per cell: 0.00


Here is a relaxed structure of Mg3Mn from the Alexandria database. Energies are from PBE.

Geometry as CIF:
```
data_Mg3Mn
_symmetry_space_group_name_H-M 'F m m m'
_symmetry_Int_Tables_number 69
_symmetry_space_group_name_Hall '-F 2 2'
_cell_length_a 6.766
_cell_length_b 6.775
_cell_length_c 6.858
_cell_angle_alpha 90.00
_cell_angle_beta 90.00
_cell_angle_gamma 90.00
loop_
_atom_site_label
_atom_site_type_symbol
_atom_site_fract_x
_atom_site_fract_y
_atom_site_fract_z
Mg1 Mg 0.000 0.000 0.000
Mg2 Mg 0.250 0.250 0.250
Mn1 Mn 0.000 0.000 0.500
```

Values from the calculation:
Energy of formation from the pure elements, kJ/mol of formula units: 67
Crystal system: orthorhombic
M_tot, Bohr magnetons per cell: 14.68


Here is a relaxed structure of NbOs4F2 from the Alexandria database. Energies are from PBE.

Geometry as CIF:
```
data_NbOs4F2
_symmetry_space_group_name_H-M 'I 4/m m m'
_symmetry_Int_Tables_number 139
_symmetry_space_group_name_Hall '-I 4 2'
_cell_length_a 4.890
_cell_length_b 4.890
_cell_length_c 11.158
_cell_angle_alpha 90.00
_cell_angle_beta 90.00
_cell_angle_gamma 90.00
loop_
_atom_site_label
_atom_site_type_symbol
_atom_site_fract_x
_atom_site_fract_y
_atom_site_fract_z
Nb1 Nb 0.000 0.000 0.000
Os1 Os 0.000 0.000 0.214
Os2 Os 0.000 0.500 0.000
F1 F 0.000 0.000 0.395
```

Values from the calculation:
Formation energy from raw total energies, eV per atom: 1.89
Crystal system: tetragonal
M_tot, Bohr magnetons per cell: 12.42


Here is a relaxed structure of Ac2ZrAl from the Alexandria database. Energies are from PBE.

Geometry as CIF:
```
data_Ac2ZrAl
_symmetry_space_group_name_H-M 'R -3 m'
_symmetry_Int_Tables_number 166
_symmetry_space_group_name_Hall '-R 3 2"'
_cell_length_a 3.5473
_cell_length_b 3.5473
_cell_length_c 35.5990
_cell_angle_alpha 90.00
_cell_angle_beta 90.00
_cell_angle_gamma 120.00
loop_
_atom_site_label
_atom_site_type_symbol
_atom_site_fract_x
_atom_site_fract_y
_atom_site_fract_z
Ac1 Ac 0.0000 0.0000 0.0926
Zr1 Zr 0.0000 0.0000 0.0000
Al1 Al 0.0000 0.0000 0.5000
```

Values from the calculation:
Energy of formation from the pure elements, kJ/mol of formula units: 191
Crystal system: trigonal
M_tot, Bohr magnetons per cell: 0.04


Here is a relaxed structure of SmTh2Mg from the Alexandria database. Energies are from PBE.

Geometry as CIF:
```
data_SmTh2Mg
_symmetry_space_group_name_H-M 'F m -3 m'
_symmetry_Int_Tables_number 225
_symmetry_space_group_name_Hall '-F 4 2 3'
_cell_length_a 7.882
_cell_length_b 7.882
_cell_length_c 7.882
_cell_angle_alpha 90.00
_cell_angle_beta 90.00
_cell_angle_gamma 90.00
loop_
_atom_site_label
_atom_site_type_symbol
_atom_site_fract_x
_atom_site_fract_y
_atom_site_fract_z
Sm1 Sm 0.000 0.000 0.000
Th1 Th 0.250 0.250 0.250
Mg1 Mg 0.000 0.000 0.500
```

Values from the calculation:
Energy of formation from the pure elements, kJ/mol of formula units: 64
Crystal system: cubic
M_tot, Bohr magnetons per cell: 0.00


Here is a relaxed structure of Cs8Au3Cl4 from the Alexandria database. Energies are from PBE.

Geometry as CIF:
```
data_Cs8Au3Cl4
_symmetry_space_group_name_H-M 'C 1 2/m 1'
_symmetry_Int_Tables_number 12
_symmetry_space_group_name_Hall '-C 2y'
_cell_length_a 14.463
_cell_length_b 14.485
_cell_length_c 10.181
_cell_angle_alpha 90.00
_cell_angle_beta 134.54
_cell_angle_gamma 90.00
loop_
_atom_site_label
_atom_site_type_symbol
_atom_site_fract_x
_atom_site_fract_y
_atom_site_fract_z
Cs1 Cs 0.000 0.244 0.000
Cs2 Cs 0.000 0.248 0.500
Cs3 Cs 0.236 0.000 0.484
Cs4 Cs 0.241 0.000 0.991
Au1 Au 0.000 0.500 0.500
Au2 Au 0.250 0.250 0.500
Cl1 Cl 0.000 0.000 0.000
Cl2 Cl 0.000 0.000 0.500
Cl3 Cl 0.250 0.250 0.000
```

Values from the calculation:
Formation energy from raw total energies, eV per atom: -1.16
Crystal system: monoclinic
M_tot, Bohr magnetons per cell: 1.63


Here is a relaxed structure of PuNi4Pt8 from the Alexandria database. Energies are from PBE.

Geometry as CIF:
```
data_PuNi4Pt8
_symmetry_space_group_name_H-M 'I 4/m m m'
_symmetry_Int_Tables_number 139
_symmetry_space_group_name_Hall '-I 4 2'
_cell_length_a 8.825
_cell_length_b 8.825
_cell_length_c 5.089
_cell_angle_alpha 90.00
_cell_angle_beta 90.00
_cell_angle_gamma 90.00
loop_
_atom_site_label
_atom_site_type_symbol
_atom_site_fract_x
_atom_site_fract_y
_atom_site_fract_z
Pu1 Pu 0.000 0.000 0.000
Ni1 Ni 0.250 0.250 0.250
Pt1 Pt 0.000 0.219 0.500
Pt2 Pt 0.000 0.341 0.000
```

Values from the calculation:
Energy of formation from the pure elements, kJ/mol of formula units: -313
Crystal system: tetragonal
M_tot, Bohr magnetons per cell: 15.96


Here is a relaxed structure of LiGaCo from the Alexandria database. Energies are from PBE.

Geometry as CIF:
```
data_LiGaCo
_symmetry_space_group_name_H-M 'I 4 m m'
_symmetry_Int_Tables_number 107
_symmetry_space_group_name_Hall 'I 4 -2'
_cell_length_a 2.983
_cell_length_b 2.983
_cell_length_c 8.249
_cell_angle_alpha 90.00
_cell_angle_beta 90.00
_cell_angle_gamma 90.00
loop_
_atom_site_label
_atom_site_type_symbol
_atom_site_fract_x
_atom_site_fract_y
_atom_site_fract_z
Li1 Li 0.000 0.000 0.000
Ga1 Ga 0.000 0.000 0.317
Co1 Co 0.000 0.000 0.664
```

Values from the calculation:
Energy of formation from the pure elements, kJ/mol of formula units: -27
Crystal system: tetragonal
M_tot, Bohr magnetons per cell: 0.00


Here is a relaxed structure of TbCdCuSn from the Alexandria database. Energies are from PBE.

Geometry as CIF:
```
data_TbCdCuSn
_symmetry_space_group_name_H-M 'F -4 3 m'
_symmetry_Int_Tables_number 216
_symmetry_space_group_name_Hall 'F -4 2 3'
_cell_length_a 7.076
_cell_length_b 7.076
_cell_length_c 7.076
_cell_angle_alpha 90.00
_cell_angle_beta 90.00
_cell_angle_gamma 90.00
loop_
_atom_site_label
_atom_site_type_symbol
_atom_site_fract_x
_atom_site_fract_y
_atom_site_fract_z
Tb1 Tb 0.000 0.000 0.000
Cd1 Cd 0.000 0.000 0.500
Cu1 Cu 0.250 0.250 0.750
Sn1 Sn 0.250 0.250 0.250
```

Values from the calculation:
Energy of formation from the pure elements, kJ/mol of formula units: -80
Crystal system: cubic
M_tot, Bohr magnetons per cell: 0.00


Here is a relaxed structure of Li3Mg2In4 from the Alexandria database. Energies are from PBE.

Geometry as CIF:
```
data_Li3Mg2In4
_symmetry_space_group_name_H-M 'P -1'
_symmetry_Int_Tables_number 2
_symmetry_space_group_name_Hall '-P 1'
_cell_length_a 4.440
_cell_length_b 5.345
_cell_length_c 9.303
_cell_angle_alpha 94.88
_cell_angle_beta 103.62
_cell_angle_gamma 114.42
loop_
_atom_site_label
_atom_site_type_symbol
_atom_site_fract_x
_atom_site_fract_y
_atom_site_fract_z
Li1 Li 0.000 0.000 0.000
Li2 Li 0.098 0.760 0.439
Mg1 Mg 0.454 0.133 0.774
In1 In 0.229 0.572 0.882
In2 In 0.320 0.300 0.344
```

Values from the calculation:
Energy of formation from the pure elements, kJ/mol of formula units: -173
Crystal system: triclinic
M_tot, Bohr magnetons per cell: 0.00


Here is a relaxed structure of Re2GeAuBr from the Alexandria database. Energies are from PBE.

Geometry as CIF:
```
data_Re2GeAuBr
_symmetry_space_group_name_H-M 'P 4/m m m'
_symmetry_Int_Tables_number 123
_symmetry_space_group_name_Hall '-P 4 2'
_cell_length_a 4.574
_cell_length_b 4.574
_cell_length_c 5.040
_cell_angle_alpha 90.00
_cell_angle_beta 90.00
_cell_angle_gamma 90.00
loop_
_atom_site_label
_atom_site_type_symbol
_atom_site_fract_x
_atom_site_fract_y
_atom_site_fract_z
Re1 Re 0.000 0.500 0.000
Ge1 Ge 0.000 0.000 0.500
Au1 Au 0.500 0.500 0.500
Br1 Br 0.000 0.000 0.000
```

Values from the calculation:
Formation energy from raw total energies, eV per atom: 2.16
Crystal system: tetragonal
M_tot, Bohr magnetons per cell: 0.00